{
  "formula": "ReIr2Pt",
  "functional": "PBEsol",
  "state": "relaxed",
  "lattice_angstrom": [[2.729, 0.000, 0.000], [0.000, 2.729, 0.000], [0.000, 0.000, 7.732]],
  "species": ["Re", "Ir", "Ir", "Pt"],
  "fractional_positions": [[0.500, 0.500, 0.500], [0.000, 0.000, 0.739], [0.000, 0.000, 0.261], [0.500, 0.500, 0.000]],
  "de_polymorph_mev_per_atom": 0.0,
  "space_group": "P4/mmm (123)"
}

---

{
  "formula": "Sn2TeRuO",
  "functional": "PBEsol",
  "state": "relaxed",
  "lattice_angstrom": [[-2.910, -2.304, 0.209], [3.217, -3.909, 1.696], [-0.831, 1.509, 5.054]],
  "species": ["Ru", "Te", "Sn", "Sn", "O"],
  "fractional_positions": [[0.000, 0.000, 0.000], [0.500, 0.500, 0.500], [0.000, 0.000, 0.500], [0.000, 0.500, 0.000], [0.500, 0.000, 0.000]],
  "raw_formation_energy_kj_per_mol_fu": -161,
  "space_group": "P4/mmm (123)"
}

---

{
  "formula": "GeH4",
  "functional": "PBEsol",
  "state": "relaxed",
  "lattice_angstrom": [[-1.943, 0.044, -3.976], [0.966, -8.665, -0.569], [-5.848, 3.544, 2.898]],
  "species": ["H", "H", "H", "H", "H", "H", "H", "H", "H", "H", "H", "H", "H", "H", "H", "H", "Ge", "Ge", "Ge", "Ge"],
  "fractional_positions": [[0.158, 0.287, 0.170], [0.158, 0.713, 0.330], [0.842, 0.713, 0.830], [0.842, 0.287, 0.670], [0.670, 0.204, 0.963], [0.670, 0.796, 0.537], [0.330, 0.796, 0.037], [0.330, 0.204, 0.463], [0.674, 0.424, 0.380], [0.674, 0.576, 0.120], [0.326, 0.576, 0.620], [0.326, 0.424, 0.880], [0.783, 0.080, 0.186], [0.783, 0.920, 0.314], [0.217, 0.920, 0.814], [0.217, 0.080, 0.686], [0.821, 0.249, 0.174], [0.821, 0.751, 0.326], [0.179, 0.751, 0.826], [0.179, 0.249, 0.674]],
  "space_group": "P2/c (13)"
}

---

{
  "formula": "K3TlSi",
  "functional": "PBEsol",
  "state": "relaxed",
  "lattice_angstrom": [[6.350, 0.000, 0.000], [0.000, 6.350, 0.000], [0.000, 0.000, 6.350]],
  "species": ["Tl", "Si", "K", "K", "K"],
  "fractional_positions": [[0.500, 0.500, 0.500], [0.000, 0.000, 0.000], [0.000, 0.500, 0.000], [0.000, 0.000, 0.500], [0.500, 0.000, 0.000]],
  "raw_formation_energy_kj_per_mol_fu": 226,
  "space_group": "Pm-3m (221)"
}

---

{
  "formula": "CoCuRh2",
  "functional": "PBEsol",
  "state": "relaxed",
  "lattice_angstrom": [[2.628, 0.000, 0.000], [0.000, 3.564, 0.000], [0.000, 0.000, 5.260]],
  "species": ["Rh", "Rh", "Co", "Cu"],
  "fractional_positions": [[0.000, 0.000, 0.753], [0.000, 0.000, 0.247], [0.500, 0.500, 0.000], [0.500, 0.500, 0.500]],
  "de_polymorph_mev_per_atom": 12.6,
  "space_group": "Pmmm (47)"
}

---

{
  "formula": "Cu2Sb2As",
  "functional": "PBEsol",
  "state": "relaxed",
  "lattice_angstrom": [[4.316, 0.000, 0.000], [0.000, 4.316, 0.000], [-2.158, -2.158, 5.401]],
  "species": ["Sb", "Sb", "As", "Cu", "Cu"],
  "fractional_positions": [[0.250, 0.750, 0.500], [0.750, 0.250, 0.500], [0.000, 0.000, 0.000], [0.393, 0.393, 0.786], [0.607, 0.607, 0.214]],
  "raw_formation_energy_kj_per_mol_fu": 230,
  "space_group": "I4/mmm (139)"
}

---

{
  "formula": "LiCuRh2",
  "functional": "PBEsol",
  "state": "relaxed",
  "lattice_angstrom": [[2.636, 0.000, 0.000], [0.000, 3.788, 0.000], [0.000, 0.000, 5.115]],
  "species": ["Rh", "Rh", "Cu", "Li"],
  "fractional_positions": [[0.000, 0.000, 0.014], [0.500, 0.500, 0.238], [0.000, 0.000, 0.511], [0.500, 0.500, 0.737]],
  "space_group": "Pmm2 (25)"
}

---

{
  "formula": "SrAl5",
  "functional": "PBEsol",
  "state": "relaxed",
  "lattice_angstrom": [[4.398, 0.000, 0.000], [0.000, 5.670, 0.000], [0.000, -2.835, 4.910]],
  "species": ["Sr", "Al", "Al", "Al", "Al", "Al"],
  "fractional_positions": [[0.500, 0.000, 0.000], [0.000, 0.500, 0.500], [0.000, 0.500, 0.000], [0.000, 0.000, 0.500], [0.500, 0.333, 0.667], [0.500, 0.667, 0.333]],
  "space_group": "P6/mmm (191)"
}

---

{
  "formula": "CaCr2P",
  "functional": "PBEsol",
  "state": "relaxed",
  "lattice_angstrom": [[-4.038, 0.328, -1.954], [-2.730, -3.572, -0.133], [-3.728, -0.076, 2.515]],
  "species": ["Ca", "Cr", "Cr", "P"],
  "fractional_positions": [[0.500, 0.500, 0.500], [0.000, 0.000, 0.000], [0.250, 0.250, 0.250], [0.750, 0.750, 0.750]],
  "space_group": "F-43m (216)"
}

---

{
  "formula": "Li8PrO6",
  "functional": "PBEsol",
  "state": "relaxed",
  "lattice_angstrom": [[-4.651, 1.544, 2.786], [-1.700, -2.944, 4.497], [0.923, 2.780, 5.703]],
  "species": ["Pr", "O", "O", "O", "O", "O", "O", "Li", "Li", "Li", "Li", "Li", "Li", "Li", "Li"],
  "fractional_positions": [[0.000, 0.000, 0.000], [0.400, 0.114, 0.731], [0.245, 0.600, 0.269], [0.600, 0.886, 0.269], [0.114, 0.755, 0.731], [0.755, 0.400, 0.731], [0.886, 0.245, 0.269], [0.630, 0.630, 0.110], [0.778, 0.096, 0.627], [0.096, 0.499, 0.627], [0.499, 0.778, 0.627], [0.222, 0.904, 0.373], [0.904, 0.501, 0.373], [0.370, 0.370, 0.890], [0.501, 0.222, 0.373]],
  "raw_formation_energy_kj_per_mol_fu": -2820,
  "space_group": "R-3 (148)"
}

---

{
  "formula": "LaSnRhO2",
  "functional": "PBEsol",
  "state": "relaxed",
  "lattice_angstrom": [[4.259, 0.000, 0.000], [0.000, 4.259, 0.000], [0.000, 0.000, 4.874]],
  "species": ["Rh", "Sn", "O", "O", "La"],
  "fractional_positions": [[0.000, 0.000, 0.000], [0.000, 0.000, 0.500], [0.000, 0.500, 0.000], [0.500, 0.000, 0.000], [0.500, 0.500, 0.500]],
  "raw_formation_energy_kj_per_mol_fu": -219,
  "space_group": "P4/mmm (123)"
}

---

{
  "formula": "TaIn2Sb",
  "functional": "PBEsol",
  "state": "relaxed",
  "lattice_angstrom": [[3.734, 0.000, 0.000], [0.000, 3.730, 0.000], [0.000, 0.000, 6.135]],
  "species": ["In", "In", "Sb", "Ta"],
  "fractional_positions": [[0.000, 0.000, 0.995], [0.500, 0.500, 0.239], [0.000, 0.000, 0.525], [0.500, 0.500, 0.741]],
  "raw_formation_energy_kj_per_mol_fu": 67,
  "space_group": "P4mm (99)"
}

---

{
  "formula": "GaReAg2W",
  "functional": "PBEsol",
  "state": "relaxed",
  "lattice_angstrom": [[-2.044, 4.199, -0.814], [-4.394, -2.079, 0.309], [-0.083, 0.887, 4.789]],
  "species": ["Re", "Ga", "Ag", "Ag", "W"],
  "fractional_positions": [[0.500, 0.500, 0.500], [0.500, 0.000, 0.000], [0.000, 0.000, 0.500], [0.000, 0.500, 0.000], [0.000, 0.000, 0.000]],
  "space_group": "P4/mmm (123)"
}

---

{
  "formula": "Ni2PCl",
  "functional": "PBEsol",
  "state": "relaxed",
  "lattice_angstrom": [[-3.732, -0.534, 1.677], [-2.200, -3.374, -0.895], [-0.575, -2.908, 2.869]],
  "species": ["Cl", "Ni", "Ni", "P"],
  "fractional_positions": [[0.000, 0.000, 0.000], [0.750, 0.750, 0.750], [0.250, 0.250, 0.250], [0.500, 0.500, 0.500]],
  "de_polymorph_mev_per_atom": 269.5,
  "raw_formation_energy_kj_per_mol_fu": 99,
  "space_group": "Fm-3m (225)"
}

---

{
  "formula": "Cs8ZrMo6O24",
  "functional": "PBEsol",
  "state": "relaxed",
  "lattice_angstrom": [[-3.333, -7.013, 2.837], [-0.496, -6.737, -7.759], [9.089, 0.090, 6.162]],
  "species": ["Cs", "Cs", "Cs", "Cs", "Cs", "Cs", "Cs", "Cs", "Zr", "Mo", "Mo", "Mo", "Mo", "Mo", "Mo", "O", "O", "O", "O", "O", "O", "O", "O", "O", "O", "O", "O", "O", "O", "O", "O", "O", "O", "O", "O", "O", "O", "O", "O"],
  "fractional_positions": [[0.351, 0.212, 0.000], [0.649, 0.788, 0.000], [0.500, 0.337, 0.675], [0.500, 0.663, 0.325], [0.885, 0.519, 0.651], [0.885, 0.867, 0.349], [0.115, 0.481, 0.349], [0.115, 0.133, 0.651], [0.000, 0.000, 0.000], [0.715, 0.257, 0.307], [0.715, 0.950, 0.693], [0.285, 0.743, 0.693], [0.285, 0.050, 0.307], [0.799, 0.381, 0.000], [0.201, 0.619, 0.000], [0.813, 0.089, 0.149], [0.813, 0.940, 0.851], [0.187, 0.911, 0.851], [0.187, 0.060, 0.149], [0.766, 0.218, 0.449], [0.766, 0.769, 0.551], [0.234, 0.782, 0.551], [0.234, 0.231, 0.449], [0.798, 0.408, 0.343], [0.798, 0.065, 0.657], [0.202, 0.592, 0.657], [0.202, 0.935, 0.343], [0.494, 0.319, 0.288], [0.494, 0.031, 0.712], [0.506, 0.681, 0.712], [0.506, 0.969, 0.288], [0.814, 0.551, 0.145], [0.814, 0.406, 0.855], [0.186, 0.449, 0.855], [0.186, 0.594, 0.145], [0.965, 0.212, 0.000], [0.035, 0.788, 0.000], [0.602, 0.354, 0.000], [0.398, 0.646, 0.000]],
  "raw_formation_energy_kj_per_mol_fu": -8363,
  "space_group": "C2/m (12)"
}

---

{
  "formula": "ReAg2Cl",
  "functional": "PBEsol",
  "state": "relaxed",
  "lattice_angstrom": [[-1.386, 2.404, -0.497], [0.372, -0.358, -2.771], [-7.071, -4.163, -0.410]],
  "species": ["Re", "Ag", "Ag", "Cl"],
  "fractional_positions": [[0.500, 0.500, 0.500], [0.000, 0.000, 0.747], [0.000, 0.000, 0.253], [0.500, 0.500, 0.000]],
  "de_polymorph_mev_per_atom": 189.1,
  "raw_formation_energy_kj_per_mol_fu": 209,
  "space_group": "P4/mmm (123)"
}

---

{
  "formula": "MnCdTc2",
  "functional": "PBEsol",
  "state": "relaxed",
  "lattice_angstrom": [[-0.856, -2.279, -1.190], [0.232, -2.372, 1.290], [-8.332, -0.381, 3.642]],
  "species": ["Cd", "Mn", "Tc", "Tc"],
  "fractional_positions": [[0.500, 0.500, 0.500], [0.000, 0.000, 0.000], [0.260, 0.260, 0.219], [0.740, 0.740, 0.781]],
  "space_group": "R-3m (166)"
}

---

{
  "formula": "In2MoW",
  "functional": "PBEsol",
  "state": "relaxed",
  "lattice_angstrom": [[3.118, 0.000, 0.000], [1.559, 2.700, 0.000], [1.559, 0.900, 9.268]],
  "species": ["In", "In", "Mo", "W"],
  "fractional_positions": [[0.993, 0.993, 0.020], [0.757, 0.757, 0.729], [0.510, 0.510, 0.469], [0.239, 0.239, 0.282]],
  "de_polymorph_mev_per_atom": 0.0,
  "space_group": "R3m (160)"
}

---

{
  "formula": "SeIBr3",
  "functional": "PBEsol",
  "state": "relaxed",
  "lattice_angstrom": [[-4.283, 3.109, 1.884], [-3.073, -1.540, -4.443], [-1.943, -4.418, 2.874]],
  "species": ["I", "Se", "Br", "Br", "Br"],
  "fractional_positions": [[0.000, 0.000, 0.000], [0.500, 0.500, 0.500], [0.000, 0.500, 0.000], [0.000, 0.000, 0.500], [0.500, 0.000, 0.000]],
  "raw_formation_energy_kj_per_mol_fu": 256,
  "space_group": "Pm-3m (221)"
}

---

{
  "formula": "GdSe2",
  "functional": "PBEsol",
  "state": "relaxed",
  "lattice_angstrom": [[4.033, 0.000, 0.000], [0.000, 4.033, 0.000], [0.000, 0.000, 8.284]],
  "species": ["Gd", "Gd", "Se", "Se", "Se", "Se"],
  "fractional_positions": [[0.000, 0.500, 0.726], [0.500, 0.000, 0.274], [0.000, 0.000, 0.000], [0.500, 0.500, 0.000], [0.000, 0.500, 0.368], [0.500, 0.000, 0.632]],
  "raw_formation_energy_kj_per_mol_fu": -482,
  "space_group": "P4/nmm (129)"
}

---

{
  "formula": "LaCuRh",
  "functional": "PBEsol",
  "state": "relaxed",
  "lattice_angstrom": [[-2.300, 1.352, -2.187], [-2.391, -0.047, 2.486], [3.639, 3.695, 1.177]],
  "species": ["Cu", "La", "Rh"],
  "fractional_positions": [[0.967, 0.967, 0.934], [0.667, 0.667, 0.334], [0.366, 0.366, 0.732]],
  "de_polymorph_mev_per_atom": 168.1,
  "space_group": "I4mm (107)"
}

---

{
  "formula": "AgRuRh2",
  "functional": "PBEsol",
  "state": "relaxed",
  "lattice_angstrom": [[2.703, 0.000, 0.000], [0.000, 4.399, 0.000], [0.000, 0.000, 4.748]],
  "species": ["Ag", "Rh", "Rh", "Ru"],
  "fractional_positions": [[0.500, 0.500, 0.211], [0.000, 0.000, 0.032], [0.000, 0.500, 0.708], [0.500, 0.000, 0.549]],
  "de_polymorph_mev_per_atom": 197.5,
  "space_group": "Pmm2 (25)"
}

---

{
  "formula": "CaScMo2",
  "functional": "PBEsol",
  "state": "relaxed",
  "lattice_angstrom": [[3.913, 0.000, 0.000], [0.000, 3.913, 0.000], [0.000, 0.000, 4.856]],
  "species": ["Sc", "Mo", "Mo", "Ca"],
  "fractional_positions": [[0.500, 0.500, 0.500], [0.000, 0.500, 0.000], [0.500, 0.000, 0.000], [0.000, 0.000, 0.500]],
  "de_polymorph_mev_per_atom": 243.0,
  "space_group": "P4/mmm (123)"
}

---

{
  "formula": "BiPbO2",
  "functional": "PBEsol",
  "state": "relaxed",
  "lattice_angstrom": [[-1.158, 2.643, 2.033], [-0.694, -0.572, 3.413], [6.146, 2.376, 3.474]],
  "species": ["Pb", "Bi", "O", "O"],
  "fractional_positions": [[0.500, 0.500, 0.500], [0.000, 0.000, 0.000], [0.894, 0.894, 0.317], [0.106, 0.106, 0.683]],
  "raw_formation_energy_kj_per_mol_fu": -304,
  "space_group": "R-3m (166)"
}

---

{
  "formula": "Li3CrFe3O8",
  "functional": "PBEsol",
  "state": "relaxed",
  "lattice_angstrom": [[-6.570, -2.464, 2.199], [1.439, -0.695, -6.996], [-1.058, -8.123, 3.549]],
  "species": ["Cr", "Cr", "Fe", "Fe", "Fe", "Fe", "Fe", "Fe", "O", "O", "O", "O", "O", "O", "O", "O", "O", "O", "O", "O", "O", "O", "O", "O", "Li", "Li", "Li", "Li", "Li", "Li"],
  "fractional_positions": [[0.453, 0.676, 0.244], [0.547, 0.324, 0.756], [0.709, 0.653, 0.919], [0.348, 0.907, 0.671], [0.542, 0.673, 0.600], [0.458, 0.327, 0.400], [0.652, 0.093, 0.329], [0.291, 0.347, 0.081], [0.754, 0.350, 0.266], [0.991, 0.921, 0.188], [0.994, 0.134, 0.220], [0.466, 0.403, 0.644], [0.181, 0.544, 0.256], [0.641, 0.119, 0.566], [0.837, 0.771, 0.515], [0.649, 0.868, 0.098], [0.351, 0.132, 0.902], [0.163, 0.229, 0.485], [0.359, 0.881, 0.434], [0.819, 0.456, 0.744], [0.534, 0.597, 0.356], [0.006, 0.866, 0.780], [0.009, 0.079, 0.812], [0.246, 0.650, 0.734], [0.000, 0.000, 0.000], [0.919, 0.037, 0.437], [0.059, 0.349, 0.732], [0.000, 0.500, 0.500], [0.941, 0.651, 0.268], [0.081, 0.963, 0.563]],
  "de_polymorph_mev_per_atom": 412.7,
  "raw_formation_energy_kj_per_mol_fu": -1772,
  "space_group": "P-1 (2)"
}

---

What calculated total energy values result from the calculations? In sequence: -10.119; -5.826; -3.495; -1.887; -6.972; -4.101; -5.622; -3.848; -6.839; -5.443; -6.103; -5.596; -4.969; -4.771; -7.690; -4.950; -8.101; -7.540; -1.715; -9.047; -6.126; -7.122; -7.407; -5.483; -6.893 eV per atom.